Entry 1:
Entry from the Alexandria database: crystalline MnZn2Sn at its relaxed geometry (PBE-GGA).

The structure in POSCAR format:
```
MnZn2Sn
1.0
4.329 0.000 0.000
2.165 3.749 0.000
2.165 1.250 4.593
Zn Mn Sn
2 1 1
direct
0.774 0.774 0.679
0.226 0.226 0.321
0.500 0.500 0.500
0.000 0.000 0.000
```

Calculated values
* crystal system: trigonal
* energy of formation from the pure elements: 256 meV per atom
* total energy: -0.1350 hartree per atom
* space group: R-3m (166)

Entry 2:
Entry from the Alexandria database: crystalline MnZn2Sn2 at its relaxed geometry (PBE-GGA).

The structure in POSCAR format:
```
MnZn2Sn2
1.0
6.976 0.000 0.000
0.000 6.976 0.000
0.000 0.000 4.142
Zn Mn Sn
4 2 4
direct
0.369 0.869 0.000
0.869 0.631 0.000
0.631 0.131 0.000
0.131 0.369 0.000
0.000 0.000 0.000
0.500 0.500 0.000
0.177 0.677 0.500
0.677 0.823 0.500
0.823 0.323 0.500
0.323 0.177 0.500
```

Calculated values
* crystal system: tetragonal
* energy of formation from the pure elements: 224 meV per atom
* total energy: -0.1367 hartree per atom
* space group: P4/mbm (127)

Entry 3:
Entry from the Alexandria database: crystalline MnZn2Sn2 at its relaxed geometry (PBE-GGA).

The structure in POSCAR format:
```
MnZn2Sn2
1.0
4.400 0.000 0.000
0.000 4.400 0.000
2.200 2.200 5.895
Zn Mn Sn
2 1 2
direct
0.401 0.401 0.198
0.599 0.599 0.802
0.000 0.000 0.000
0.750 0.250 0.500
0.250 0.750 0.500
```

Calculated values
* crystal system: tetragonal
* energy of formation from the pure elements: 437 meV per atom
* total energy: -0.1289 hartree per atom
* space group: I4/mmm (139)

Entry 4:
Entry from the Alexandria database: crystalline Zr2MnSn2 at its relaxed geometry (PBE-GGA).

The structure in POSCAR format:
```
Zr2MnSn2
1.0
7.130 0.000 0.000
0.000 7.130 0.000
0.000 0.000 4.243
Mn Sn Zr
2 4 4
direct
0.000 0.000 0.000
0.500 0.500 0.000
0.358 0.858 0.000
0.858 0.642 0.000
0.642 0.142 0.000
0.142 0.358 0.000
0.166 0.666 0.500
0.666 0.834 0.500
0.834 0.334 0.500
0.334 0.166 0.500
```

Calculated values
* crystal system: tetragonal
* energy of formation from the pure elements: -239 meV per atom
* total energy: -0.2607 hartree per atom
* space group: P4/mbm (127)

Entry 5:
Entry from the Alexandria database: crystalline Zr3MnSn at its relaxed geometry (PBE-GGA).

The structure in POSCAR format:
```
Zr3MnSn
1.0
5.155 0.000 0.000
0.000 5.155 0.000
0.000 0.000 5.155
Mn Sn Zr
1 1 3
direct
0.500 0.500 0.500
0.000 0.000 0.000
0.000 0.500 0.000
0.000 0.000 0.500
0.500 0.000 0.000
```

Calculated values
* crystal system: cubic
* energy of formation from the pure elements: 1599 meV per atom
* total energy: -0.2265 hartree per atom
* space group: Pm-3m (221)

Entry 6:
Entry from the Alexandria database: crystalline ZrMn3Sn at its relaxed geometry (PBE-GGA).

The structure in POSCAR format:
```
ZrMn3Sn
1.0
-0.218 2.671 -4.400
-5.012 0.891 0.790
1.170 4.314 2.561
Mn Sn Zr
3 1 1
direct
0.000 0.500 0.000
0.000 0.000 0.500
0.500 0.000 0.000
0.000 0.000 0.000
0.500 0.500 0.500
```

Calculated values
* crystal system: cubic
* energy of formation from the pure elements: 1173 meV per atom
* total energy: -0.2513 hartree per atom
* space group: Pm-3m (221)

Entry 7:
Entry from the Alexandria database: crystalline Zr8MnSn2 at its relaxed geometry (PBE-GGA).

The structure in POSCAR format:
```
Zr8MnSn2
1.0
4.995 0.000 0.000
0.000 6.128 -0.437
-2.498 -3.114 8.149
Zr Mn Sn
8 1 2
direct
0.407 0.578 0.813
0.638 0.964 0.276
0.784 0.697 0.567
0.990 0.229 0.979
0.216 0.303 0.433
0.362 0.036 0.724
0.593 0.422 0.187
0.010 0.771 0.021
0.500 0.000 0.000
0.828 0.278 0.655
0.172 0.722 0.345
```

Calculated values
* crystal system: monoclinic
* energy of formation from the pure elements: -170 meV per atom
* total energy: -0.2921 hartree per atom
* space group: C2/m (12)

Entry 8:
Entry from the Alexandria database: crystalline ZrMn2Sn2 at its relaxed geometry (PBE-GGA).

The structure in POSCAR format:
```
ZrMn2Sn2
1.0
7.699 0.000 0.000
0.000 7.699 0.000
0.000 0.000 3.137
Mn Sn Zr
4 4 2
direct
0.382 0.882 0.000
0.882 0.618 0.000
0.618 0.118 0.000
0.118 0.382 0.000
0.176 0.676 0.500
0.676 0.824 0.500
0.824 0.324 0.500
0.324 0.176 0.500
0.000 0.000 0.000
0.500 0.500 0.000
```

Calculated values
* crystal system: tetragonal
* energy of formation from the pure elements: 34 meV per atom
* total energy: -0.2552 hartree per atom
* space group: P4/mbm (127)

Entry 9:
Entry from the Alexandria database: crystalline ZrMnSn2 at its relaxed geometry (PBE-GGA).

The structure in POSCAR format:
```
ZrMnSn2
1.0
0.000 3.418 3.418
3.418 0.000 3.418
3.418 3.418 0.000
Mn Sn Zr
1 2 1
direct
0.000 0.000 0.000
0.250 0.250 0.250
0.750 0.750 0.750
0.500 0.500 0.500
```

Calculated values
* crystal system: cubic
* energy of formation from the pure elements: 219 meV per atom
* total energy: -0.2283 hartree per atom
* space group: Fm-3m (225)

Entry 10:
Entry from the Alexandria database: crystalline Zr2MnSn2 at its relaxed geometry (PBE-GGA).

The structure in POSCAR format:
```
Zr2MnSn2
1.0
-3.346 -2.618 0.114
0.350 -0.262 4.228
-5.661 3.910 2.847
Mn Sn Zr
1 2 2
direct
0.000 0.000 0.000
0.401 0.401 0.197
0.599 0.599 0.803
0.750 0.250 0.500
0.250 0.750 0.500
```

Calculated values
* crystal system: tetragonal
* energy of formation from the pure elements: 298 meV per atom
* total energy: -0.2410 hartree per atom
* space group: I4/mmm (139)

Entry 11:
Entry from the Alexandria database: crystalline ZrMn2Sn at its relaxed geometry (PBE-GGA).

The structure in POSCAR format:
```
ZrMn2Sn
1.0
3.568 0.000 0.000
0.000 4.363 0.000
0.000 0.000 4.363
Mn Sn Zr
2 1 1
direct
0.000 0.000 0.500
0.000 0.500 0.000
0.500 0.500 0.500
0.500 0.000 0.000
```

Calculated values
* crystal system: tetragonal
* energy of formation from the pure elements: -72 meV per atom
* total energy: -0.2864 hartree per atom
* space group: P4/mmm (123)

Entry 12:
Entry from the Alexandria database: crystalline ZrMnSn2 at its relaxed geometry (PBE-GGA).

The structure in POSCAR format:
```
ZrMnSn2
1.0
4.153 0.000 0.000
0.000 4.459 0.000
0.000 0.000 4.459
Mn Sn Zr
1 2 1
direct
0.500 0.000 0.000
0.000 0.000 0.500
0.000 0.500 0.000
0.500 0.500 0.500
```

Calculated values
* crystal system: tetragonal
* energy of formation from the pure elements: -139 meV per atom
* total energy: -0.2414 hartree per atom
* space group: P4/mmm (123)

- What is the formula in the sixth record?
  ZrMn3Sn

- What is the formula in the tenth record?
  Zr2MnSn2